Entry 1:
A crystal of ErFe2B2 relaxed with PBEsol. Source: Alexandria, functional meta-GGA SCAN.

Computed properties:
electronic total energy = -0.761 hartree per atom
E_form = -0.414 eV per atom
crystal system = tetragonal

Lattice parameters (Å, degrees): 3.524 3.524 5.216 109.74 109.74 90.00
Element x y z (fractional)
Fe 0.250 0.750 0.500
B 0.647 0.647 0.294
B 0.353 0.353 0.706
Er 0.000 0.000 0.000
Fe 0.750 0.250 0.500

Entry 2:
A crystal of Er3FeB7 relaxed with PBEsol. Source: Alexandria, functional meta-GGA SCAN.

Computed properties:
electronic total energy = -0.764 hartree per atom
E_form = -0.689 eV per atom
crystal system = orthorhombic

Lattice parameters (Å, degrees): 3.349 7.888 9.162 90.00 90.00 102.26
Element x y z (fractional)
B 0.521 0.042 0.598
Er 0.243 0.486 0.750
Er 0.757 0.514 0.250
B 0.728 0.455 0.533
Er 0.105 0.210 0.060
B 0.458 0.915 0.750
B 0.479 0.958 0.402
B 0.521 0.042 0.902
B 0.272 0.545 0.033
B 0.479 0.958 0.098
Er 0.895 0.790 0.560
B 0.370 0.740 0.347
B 0.630 0.260 0.653
Fe 0.053 0.107 0.750
B 0.272 0.545 0.467
B 0.370 0.740 0.153
Er 0.895 0.790 0.940
B 0.728 0.455 0.967
B 0.630 0.260 0.847
Er 0.105 0.210 0.440
B 0.542 0.085 0.250
Fe 0.947 0.893 0.250

Entry 3:
A crystal of ErB2Ir3 relaxed with PBEsol. Source: Alexandria, functional meta-GGA SCAN.

Computed properties:
electronic total energy = -1.736 hartree per atom
E_form = -0.830 eV per atom
crystal system = hexagonal

Lattice parameters (Å, degrees): 3.128 5.392 5.392 120.00 90.00 90.00
Element x y z (fractional)
Er 0.000 0.000 0.000
B 0.000 0.333 0.667
Ir 0.500 0.500 0.500
Ir 0.500 0.000 0.500
B 0.000 0.667 0.333
Ir 0.500 0.500 0.000

The lowest electronic total energy belongs to which entry?
ErB2Ir3